Record 1
La2CePm | PBE-GGA | optimized geometry

Cell lengths 3.5924, 3.5924, 10.3379 Å; angles 90.00, 90.00, 90.00 degrees
With the nearest neighbours (Å) after each atom.
Space group P4/mmm (No. 123)
Symmetry-distinct sites (fractional):
La (0.0000, 0.0000, 0.2327) x2  4 Ce 3.50, 4 La 3.59, 4 Pm 3.75
Ce (0.5000, 0.5000, 0.0000) x1  8 La 3.50, 4 Ce 3.59
Pm (0.5000, 0.5000, 0.5000) x1  4 Pm 3.59, 8 La 3.75

Values from the calculation:
- uncorrected energy (hartree per atom) = -0.1868
- ΔE_f (eV/atom) = 0.05
- distance to the lowest polymorph of the same formula (meV per atom) = 0

---

Record 2
Er11Tl9Ga4 | PBE-GGA | optimized geometry

Cell lengths 14.6257, 22.2103, 3.7504 Å; angles 90.00, 90.00, 90.00 degrees
With the nearest neighbours (Å) after each atom.
Space group Cmmm (No. 65)
Symmetry-distinct sites (fractional):
Er (0.0000, 0.0000, 0.0000) x2  8 Tl 3.21
Er (0.0000, 0.1648, 0.0000) x4  8 Tl 3.25-3.36, 2 Er 3.53
Er (0.0000, 0.3684, 0.0000) x4  4 Ga 2.98
Er (0.1996, 0.5000, 0.0000) x4  4 Ga 2.98
Er (0.2409, 0.1714, 0.0000) x8  2 Ga 2.94, 4 Tl 3.22-3.25
Tl (0.0000, 0.5000, 0.5000) x2  4 Ga 3.11, 8 Er 3.47
Tl (0.1113, 0.2595, 0.5000) x8  1 Ga 3.19, 8 Er 3.25-3.47, 1 Tl 3.26
Tl (0.1354, 0.0765, 0.5000) x8  1 Ga 3.17, 8 Er 3.21-3.50, 1 Tl 3.40
Ga (0.1504, 0.4010, 0.5000) x8  6 Er 2.94-2.98, 3 Tl 3.11-3.19

Values from the calculation:
- uncorrected energy (hartree per atom) = -0.1413
- ΔE_f (eV/atom) = -0.36

---

Record 3
Ti8ZnC4 | PBE-GGA | optimized geometry

Cell lengths 14.8895, 3.1184, 10.3605 Å; angles 90.00, 133.17, 90.00 degrees
With the nearest neighbours (Å) after each atom.
Space group C2/m (No. 12)
Symmetry-distinct sites (fractional):
Ti (0.0423, 0.0000, 0.2137) x4  3 C 2.10-2.12
Ti (0.1469, 0.5000, 0.1040) x4  3 C 2.10-2.11
Ti (0.1543, 0.5000, 0.8359) x4  3 C 2.11
Ti (0.1938, 0.5000, 0.5523) x4  3 C 2.10-2.13
Zn (0.0000, 0.0000, 0.5000) x2  8 Ti 2.98, 2 Zn 3.12
C (0.1512, 0.0000, 0.9705) x4  6 Ti 2.10-2.11
C (0.1735, 0.5000, 0.3306) x4  6 Ti 2.10-2.13

Values from the calculation:
- uncorrected energy (hartree per atom) = -0.3086
- ΔE_f (eV/atom) = -0.60

---

Record 4
ScPaO2 | PBE-GGA | optimized geometry

Cell lengths 3.2186, 3.2186, 17.4585 Å; angles 90.00, 90.00, 120.00 degrees
With the nearest neighbours (Å) after each atom.
Space group R-3m (No. 166, hexagonal axes)
Symmetry-distinct sites (fractional):
Sc (0.0000, 0.0000, 0.0000) x3  6 O 2.21
Pa (0.0000, 0.0000, 0.5000) x3  6 O 2.53
O (0.0000, 0.0000, 0.2653) x6  3 Sc 2.21

Values from the calculation:
- uncorrected energy (hartree per atom) = -0.3362
- formation energy (no corrections) (eV/atom) = -2.71

---

Record 5
YThIr2 | PBE-GGA | optimized geometry

Cell lengths 4.0668, 4.0668, 20.0345 Å; angles 90.00, 90.00, 120.00 degrees
With the nearest neighbours (Å) after each atom.
Space group R-3m (No. 166, hexagonal axes)
Symmetry-distinct sites (fractional):
Y (0.0000, 0.0000, 0.0000) x3  6 Ir 2.88
Th (0.0000, 0.0000, 0.5000) x3  6 Ir 2.88
Ir (0.0000, 0.0000, 0.2497) x6  3 Th 2.88, 3 Y 2.88

Values from the calculation:
- uncorrected energy (hartree per atom) = -0.3170
- ΔE_f (eV/atom) = -0.72
- distance to the lowest polymorph of the same formula (meV per atom) = 174